The following is a DFT calculation (GGA-PBE) of a relaxed structure of Sn6As2S3Br.

Structure (POSCAR):
```
Sn6As2S3Br
1.0
9.2391 -2.0794 0.0000
9.2391 2.0794 0.0000
-1.7705 0.0000 8.2405
Sn As S Br
6 2 3 1
Direct
0.0054 0.0054 0.2795
0.3190 0.3190 0.9033
0.3246 0.3246 0.4159
0.6754 0.6754 0.5841
0.6810 0.6810 0.0967
0.9946 0.9946 0.7205
0.1643 0.1643 0.3343
0.8357 0.8357 0.6657
0.1712 0.1712 0.8350
0.5000 0.5000 0.5000
0.8288 0.8288 0.1650
0.5000 0.5000 0.0000
```

## Properties
The value obtained for the raw formation energy is -265 meV/atom. The value obtained for the total energy is -50.546 eV for the cell shown.

The following is a DFT calculation (GGA-PBE) of a relaxed structure of SnAs2SBr.

Structure (POSCAR):
```
SnAs2SBr
1.0
5.3938 0.0000 0.0000
0.0000 5.3938 0.0000
0.0000 0.0000 5.2726
Sn As S Br
1 2 1 1
Direct
0.0000 0.0000 0.0000
0.0000 0.5000 0.0000
0.5000 0.0000 0.0000
0.5000 0.5000 0.5000
0.0000 0.0000 0.5000
```

## Properties
The value obtained for the raw formation energy is 928 meV/atom. The value obtained for the total energy is -14.464 eV for the cell shown.